# SiP2Ru

A relaxed SiP2Ru crystal (PBE, Alexandria via LeMat-Bulk).

a = 2.8189 Å, b = 3.6840 Å, c = 11.7315 Å
α = 90.00°, β = 90.00°, γ = 90.00°
Space group Imm2 (No. 44)
Asymmetric unit:
Si (0.0000, 0.0000, 0.0000) [2 per cell]
P (0.0000, 0.0000, 0.6429) [2 per cell]
P (0.0000, 0.5000, 0.8800) [2 per cell]
Ru (0.0000, 0.0000, 0.2186) [2 per cell]

## Properties
energy relative to the elements, uncorrected = -0.202 eV/f.u.
crystal system = orthorhombic
DFT total energy = -51.4 eV for the cell shown